Record 1
VASP calculation (GGA-PBE) on crystalline Si3HRh at its relaxed geometry.

Cell and atoms, written as POSCAR:
```
Si3HRh
1.0
-0.272 -1.310 -4.375
-1.834 -3.983 1.307
-4.183 1.831 -0.289
Rh Si H
1 3 1
Cartesian
0.000 0.000 0.000
-2.092 0.916 -0.144
-0.917 -1.991 0.653
-0.136 -0.655 -2.188
-3.144 -1.731 -1.679
```

Distance to the lowest polymorph of the same formula, eV per formula unit: 2.186
Size of the total moment, μB/f.u.: 0.00
DOS at the Fermi energy, states/eV/atom: 0.880
Final energy, eV/atom: -4.6164

***

Record 2
VASP calculation (GGA-PBE) on crystalline ZrFe3Ni at its relaxed geometry.

Cell and atoms, written as POSCAR:
```
ZrFe3Ni
1.0
-2.841 -3.074 -1.702
3.297 -3.089 0.075
-1.214 -1.194 4.185
Ni Fe Zr
1 3 1
Cartesian
-0.379 -3.679 1.279
-0.607 -0.597 2.093
-1.421 -1.537 -0.851
1.648 -1.544 0.037
0.000 0.000 0.000
```

Distance to the lowest polymorph of the same formula, eV per formula unit: 5.642
Calculated formation energy, meV per atom: 1761.5
Size of the total moment, μB/f.u.: 6.32
DOS at the Fermi energy, states/eV/atom: 1.296
Final energy, eV/atom: -6.1820

***

Record 3
VASP calculation (GGA-PBE) on crystalline NaB3N at its relaxed geometry.

Cell and atoms, written as POSCAR:
```
NaB3N
1.0
4.376 0.000 0.000
0.000 4.376 0.000
0.000 0.000 4.376
B N Na
3 1 1
Cartesian
0.000 0.000 2.188
2.188 0.000 0.000
0.000 2.188 0.000
2.188 2.188 2.188
0.000 0.000 0.000
```

Distance to the lowest polymorph of the same formula, eV per formula unit: 9.138
Formation energy from raw total energies, eV per atom: 3.9274
Size of the total moment, μB/f.u.: 0.00
DOS at the Fermi energy, states/eV/atom: 0.857
Final energy, eV/atom: -2.0080

***

- The lowest DOS at the Fermi energy belongs to which entry?
  NaB3N

***

- Look up the distance to the lowest polymorph of the same formula of the second one.
  5.642 eV per formula unit

***

- Which of these has the lowest DOS at the Fermi energy?
  NaB3N